1.
Computed, not measured: crystalline AsRu at its relaxed geometry at the PBE-GGA level of DFT.

Unit cell a=3.031 b=4.658 c=4.264 alpha=90.00 beta=90.00 gamma=90.00
Space group Pmmn (No. 59, origin choice 2)
One atom of each set of equivalent atoms:
As 0.250 0.250 0.142 [2 per cell]
Ru 0.250 0.750 0.378 [2 per cell]

Output
E_form (eV/f.u.): -0.247

2.
Computed, not measured: crystalline NaZr2Sc2 at its relaxed geometry at the PBE-GGA level of DFT.

Unit cell a=8.983 b=8.983 c=3.256 alpha=90.00 beta=90.00 gamma=90.00
Space group P4/mbm (No. 127)
One atom of each set of equivalent atoms:
Na 0.000 0.000 0.000 [2 per cell]
Zr 0.111 0.389 0.000 [4 per cell]
Sc 0.180 0.680 0.500 [4 per cell]

Output
E_form (eV/f.u.): 1.666
Distance to the lowest polymorph of the same formula (eV/atom): 0.000

3.
Computed, not measured: crystalline BaZrBr2 at its relaxed geometry at the PBE-GGA level of DFT.

Unit cell a=3.719 b=5.355 c=6.546 alpha=90.00 beta=106.38 gamma=90.00
Space group Pm (No. 6)
One atom of each set of equivalent atoms:
Ba 0.000 0.000 0.000 [1 per cell]
Zr 0.322 0.500 0.641 [1 per cell]
Br 0.282 0.000 0.559 [1 per cell]
Br 0.644 0.500 0.284 [1 per cell]

Output
Formation energy from raw total energies (eV per atom): -0.743
Distance to the lowest polymorph of the same formula (eV/atom): 0.067

4.
Computed, not measured: crystalline Mg4AgRhAu2 at its relaxed geometry at the PBE-GGA level of DFT.

Unit cell a=4.5903 b=4.5903 c=22.7051 alpha=90.00 beta=90.00 gamma=120.00
Space group R-3m (No. 166, hexagonal axes)
One atom of each set of equivalent atoms:
Mg 0.0000 0.0000 0.1213 [6 per cell]
Mg 0.0000 0.0000 0.3718 [6 per cell]
Ag 0.0000 0.0000 0.5000 [3 per cell]
Rh 0.0000 0.0000 0.0000 [3 per cell]
Au 0.0000 0.0000 0.2503 [6 per cell]

Output
E_form (eV/f.u.): -3.942

5.
Computed, not measured: crystalline SrEuSb2 at its relaxed geometry at the PBE-GGA level of DFT.

Unit cell a=5.385 b=5.385 c=4.390 alpha=90.00 beta=90.00 gamma=90.00
Space group P4/mmm (No. 123)
One atom of each set of equivalent atoms:
Sr 0.000 0.000 0.000 [1 per cell]
Eu 0.500 0.500 0.000 [1 per cell]
Sb 0.000 0.500 0.500 [2 per cell]

Output
Formation energy from raw total energies (eV per atom): -0.848
Distance to the lowest polymorph of the same formula (eV/atom): 0.028

6.
Computed, not measured: crystalline MgAu at its relaxed geometry at the PBE-GGA level of DFT.

Unit cell a=4.7060 b=4.7060 c=8.4596 alpha=90.00 beta=90.00 gamma=120.00
Space group P6_3/mmc (No. 194)
One atom of each set of equivalent atoms:
Mg 0.3333 0.6667 0.0838 [4 per cell]
Au 0.0000 0.0000 0.2500 [2 per cell]
Au 0.3333 0.6667 0.7500 [2 per cell]

Output
E_form (eV/f.u.): -0.684

7.
Computed, not measured: crystalline Pt2OF at its relaxed geometry at the PBE-GGA level of DFT.

Unit cell a=4.435 b=4.435 c=13.171 alpha=90.00 beta=90.00 gamma=90.00
Space group I-42d (No. 122)
One atom of each set of equivalent atoms:
Pt 0.128 0.250 0.125 [8 per cell]
O 0.000 0.000 0.000 [4 per cell]
F 0.000 0.000 0.500 [4 per cell]

Output
Formation energy from raw total energies (eV per atom): 0.076
Distance to the lowest polymorph of the same formula (eV/atom): 0.000

8.
Computed, not measured: crystalline BeNiAs3 at its relaxed geometry at the PBE-GGA level of DFT.

Unit cell a=4.602 b=4.602 c=4.602 alpha=90.00 beta=90.00 gamma=90.00
Space group Pm-3m (No. 221)
One atom of each set of equivalent atoms:
Be 0.000 0.000 0.000 [1 per cell]
Ni 0.500 0.500 0.500 [1 per cell]
As 0.000 0.500 0.500 [3 per cell]

Output
E_form (eV/f.u.): 3.987
Distance to the lowest polymorph of the same formula (eV/atom): 0.097

9.
Computed, not measured: crystalline Tc2AgSn8 at its relaxed geometry at the PBE-GGA level of DFT.

Unit cell a=13.161 b=8.512 c=5.199 alpha=90.00 beta=107.47 gamma=90.00
Space group C2/m (No. 12)
One atom of each set of equivalent atoms:
Tc 0.217 0.000 0.341 [4 per cell]
Ag 0.000 0.000 0.000 [2 per cell]
Sn 0.090 0.500 0.793 [4 per cell]
Sn 0.129 0.292 0.317 [8 per cell]
Sn 0.176 0.000 0.809 [4 per cell]

Output
E_form (eV/f.u.): 1.579

10.
Computed, not measured: crystalline BaLaCl5 at its relaxed geometry at the PBE-GGA level of DFT.

Unit cell a=12.690 b=9.084 c=10.783 alpha=90.00 beta=114.98 gamma=90.00
Space group C2/c (No. 15)
One atom of each set of equivalent atoms:
Ba 0.000 0.047 0.250 [4 per cell]
La 0.000 0.500 0.000 [4 per cell]
Cl 0.000 0.402 0.250 [4 per cell]
Cl 0.012 0.194 0.970 [8 per cell]
Cl 0.236 0.479 0.622 [8 per cell]

Output
Formation energy from raw total energies (eV per atom): -2.406
Distance to the lowest polymorph of the same formula (eV/atom): 0.053

11.
Computed, not measured: crystalline CuSF3 at its relaxed geometry at the PBE-GGA level of DFT.

Unit cell a=4.208 b=4.208 c=4.208 alpha=90.00 beta=90.00 gamma=90.00
Space group Pm-3m (No. 221)
One atom of each set of equivalent atoms:
Cu 0.000 0.000 0.000 [1 per cell]
S 0.500 0.500 0.500 [1 per cell]
F 0.000 0.500 0.500 [3 per cell]

Output
Formation energy from raw total energies (eV per atom): -0.295
Distance to the lowest polymorph of the same formula (eV/atom): 0.349

12.
Computed, not measured: crystalline NaLa2NdTl4 at its relaxed geometry at the PBE-GGA level of DFT.

Unit cell a=5.5006 b=5.5006 c=27.6882 alpha=90.00 beta=90.00 gamma=120.00
Space group R-3m (No. 166, hexagonal axes)
One atom of each set of equivalent atoms:
Na 0.0000 0.0000 0.0000 [3 per cell]
La 0.0000 0.0000 0.2560 [6 per cell]
Nd 0.0000 0.0000 0.5000 [3 per cell]
Tl 0.0000 0.0000 0.1253 [6 per cell]
Tl 0.0000 0.0000 0.3757 [6 per cell]

Output
E_form (eV/f.u.): -2.846

Calculated density values (in g/cm³) by entry order: 9.7; 3.7; 5.2; 8.4; 6.3; 9.1; 10.9; 5.0; 7.5; 2.7; 3.4; 8.7.
Total energy values (in eV for the cell shown) by entry order: -28.34; -58.82; -16.79; -81.23; -23.59; -22.23; -74.43; -19.47; -108.05; -131.70; -15.31; -84.76.